[1]
# GGA-PBE Tm3Ga4Ni2, optimized geometry
data_Tm3Ga4Ni2
_cell_length_a 10.2253
_cell_length_b 4.2859
_cell_length_c 8.1734
_cell_angle_alpha 90.00
_cell_angle_beta 108.62
_cell_angle_gamma 90.00
_symmetry_space_group_name_H-M 'C 1 2/m 1'
_symmetry_Int_Tables_number 12
loop_
_symmetry_equiv_pos_as_xyz
'x,y,z'
'-x,-y,-z'
'-x,y,-z'
'x,-y,z'
'x+1/2,y+1/2,z'
'-x+1/2,-y+1/2,-z'
'-x+1/2,y+1/2,-z'
'x+1/2,-y+1/2,z'
loop_
_atom_site_label
_atom_site_type_symbol
_atom_site_fract_x
_atom_site_fract_y
_atom_site_fract_z
Tm1 Tm 0.0000 0.0000 0.0000
Tm2 Tm 0.1326 0.5000 0.6846
Ga1 Ga 0.0982 0.0000 0.4118
Ga2 Ga 0.2222 0.5000 0.0741
Ni1 Ni 0.1622 0.5000 0.3333
# magnetization: 0.00 Bohr magnetons per cell
# energy relative to the elements: -14.3 kcal/mol of atoms



[2]
# GGA-PBE TmGa3Ni, optimized geometry
data_TmGa3Ni
_cell_length_a 5.8392
_cell_length_b 5.8466
_cell_length_c 5.8951
_cell_angle_alpha 90.00
_cell_angle_beta 119.65
_cell_angle_gamma 90.00
_symmetry_space_group_name_H-M 'C 1 m 1'
_symmetry_Int_Tables_number 8
loop_
_symmetry_equiv_pos_as_xyz
'x,y,z'
'x,-y,z'
'x+1/2,y+1/2,z'
'x+1/2,-y+1/2,z'
loop_
_atom_site_label
_atom_site_type_symbol
_atom_site_fract_x
_atom_site_fract_y
_atom_site_fract_z
Tm1 Tm 0.0000 0.0000 0.0000
Ga1 Ga 0.0014 0.2502 0.5043
Ga2 Ga 0.0867 0.5000 0.1737
Ni1 Ni 0.3636 0.0000 0.7285
# magnetization: 0.00 Bohr magnetons per cell
# energy relative to the elements: -12.5 kcal/mol of atoms
# ΔE to the lowest computed polymorph: 9.9 kJ/mol of formula units